Ce6Hg2N: optimized geometry, PBE.

Geometry as extended XYZ:
```
18
Lattice="6.482 0.000 -0.191 0.000 6.531 0.000 0.305 0.000 10.332" Properties=species:S:1:pos:R:3 pbc="T T T"
Hg 6.561 3.267 2.532
Ce 2.015 4.835 5.111
Ce 3.479 3.264 7.903
Hg 3.472 6.530 7.794
Ce 5.409 4.962 10.182
Ce 2.014 1.697 5.112
Ce 5.103 1.569 -0.150
Hg 0.226 3.264 7.609
Ce 3.308 3.267 2.238
Ce 1.379 1.569 -0.041
Hg 3.315 0.001 2.347
Ce 6.702 6.530 7.309
Ce 4.773 4.834 5.029
Ce 0.085 0.002 2.832
N 0.153 0.000 5.166
Ce 1.684 4.962 10.291
N 3.241 3.266 -0.096
Ce 4.772 1.696 5.030
```

- ΔE to the lowest computed polymorph (eV per formula unit) = 0.00
- Fermi-level density of states (states/eV/f.u.) = 21.265
- E_form (uncorrected) (eV per atom) = -0.43

=====

H2Pt: optimized geometry, PBE.

Geometry as extended XYZ:
```
3
Lattice="-1.975 -1.799 1.040 1.744 -0.655 2.179 -0.958 3.255 -0.141" Properties=species:S:1:pos:R:3 pbc="T T T"
Pt 0.000 0.000 0.000
H -0.486 -0.528 2.116
H -0.704 1.329 0.963
```

- final energy (eV/atom) = -3.796
- Fermi-level density of states (states/eV/f.u.) = 0.269

=====

Repeat the second record exactly.
H2Pt: optimized geometry, PBE.

Geometry as extended XYZ:
```
3
Lattice="-1.975 -1.799 1.040 1.744 -0.655 2.179 -0.958 3.255 -0.141" Properties=species:S:1:pos:R:3 pbc="T T T"
Pt 0.000 0.000 0.000
H -0.486 -0.528 2.116
H -0.704 1.329 0.963
```

- final energy (eV/atom) = -3.796
- Fermi-level density of states (states/eV/f.u.) = 0.269

=====

Q: Which of these has the highest Fermi-level density of states?
A: Ce6Hg2N

=====

Q: Look up the Fermi-level density of states of the first one.
A: 21.265 states/eV/f.u.

=====

Q: Which value of Fermi-level density of states does entry 2 give?
A: 0.269 states/eV/f.u.